1.
VASP calculation (GGA-PBE) on a relaxed Np4CdGa12 crystal.

Calculated values
total magnetization = 16.30 μB per formula unit
energy of formation = -0.163 eV/atom

The structure in CIF format:
```
data_Np4CdGa12
_space_group_name_H-M_alt 'I m -3 m'
_space_group_IT_number 229
_space_group_name_Hall '-I 4 2 3'
_cell_length_a 8.7286
_cell_length_b 8.7286
_cell_length_c 8.7286
_cell_angle_alpha 90.00
_cell_angle_beta 90.00
_cell_angle_gamma 90.00
loop_
_atom_site_label
_atom_site_type_symbol
_atom_site_fract_x
_atom_site_fract_y
_atom_site_fract_z
Np1 Np 0.2500 0.2500 0.2500
Cd1 Cd 0.0000 0.0000 0.0000
Ga1 Ga 0.0000 0.0000 0.3091
Ga2 Ga 0.0000 0.2500 0.5000
```

2.
VASP calculation (GGA-PBE) on a relaxed NpCd2GaO8 crystal.

Calculated values
total magnetization = 0.03 μB per formula unit
formation energy (no corrections) = -18.0 eV/f.u.

The structure in CIF format:
```
data_NpCd2GaO8
_space_group_name_H-M_alt 'P 1 2/m 1'
_space_group_IT_number 10
_cell_length_a 4.8322
_cell_length_b 6.4750
_cell_length_c 4.9210
_cell_angle_alpha 90.00
_cell_angle_beta 92.79
_cell_angle_gamma 90.00
loop_
_space_group_symop_operation_xyz
'x,y,z'
'-x,-y,-z'
'-x,y,-z'
'x,-y,z'
loop_
_atom_site_label
_atom_site_type_symbol
_atom_site_fract_x
_atom_site_fract_y
_atom_site_fract_z
Np1 Np 0.0000 0.0000 0.0000
Cd1 Cd 0.5000 0.2618 0.5000
Ga1 Ga 0.0000 0.5000 0.0000
O1 O 0.1228 0.5000 0.5984
O2 O 0.2241 0.0000 0.6838
O3 O 0.2394 0.2596 0.1212
```

3.
VASP calculation (GGA-PBE) on a relaxed NpZnCdGa crystal.

Calculated values
total magnetization = 4.25 μB per formula unit
energy of formation = 0.046 eV/atom

The structure in CIF format:
```
data_NpZnCdGa
_space_group_name_H-M_alt 'F -4 3 m'
_space_group_IT_number 216
_space_group_name_Hall 'F -4 2 3'
_cell_length_a 6.8928
_cell_length_b 6.8928
_cell_length_c 6.8928
_cell_angle_alpha 90.00
_cell_angle_beta 90.00
_cell_angle_gamma 90.00
loop_
_atom_site_label
_atom_site_type_symbol
_atom_site_fract_x
_atom_site_fract_y
_atom_site_fract_z
Np1 Np 0.0000 0.0000 0.0000
Zn1 Zn 0.2500 0.2500 0.2500
Cd1 Cd 0.0000 0.0000 0.5000
Ga1 Ga 0.2500 0.2500 0.7500
```

4.
VASP calculation (GGA-PBE) on a relaxed CdGaO2 crystal.

Calculated values
total magnetization = 0.00 μB per formula unit
relative energy among the computed polymorphs = 0.347 eV per atom
formation energy (no corrections) = -3.6 eV/f.u.

The structure in CIF format:
```
data_CdGaO2
_space_group_name_H-M_alt 'R -3 m'
_space_group_IT_number 166
_space_group_name_Hall '-R 3 2"'
_cell_length_a 3.4370
_cell_length_b 3.4370
_cell_length_c 17.9702
_cell_angle_alpha 90.00
_cell_angle_beta 90.00
_cell_angle_gamma 120.00
loop_
_atom_site_label
_atom_site_type_symbol
_atom_site_fract_x
_atom_site_fract_y
_atom_site_fract_z
Cd1 Cd 0.0000 0.0000 0.0000
Ga1 Ga 0.0000 0.0000 0.5000
O1 O 0.0000 0.0000 0.3999
```

5.
VASP calculation (GGA-PBE) on a relaxed CdGaO crystal.

Calculated values
total magnetization = 0.00 μB per formula unit
formation energy (no corrections) = -2.1 eV/f.u.

The structure in CIF format:
```
data_CdGaO
_space_group_name_H-M_alt 'A m m 2'
_space_group_IT_number 38
_cell_length_a 12.1220
_cell_length_b 2.9207
_cell_length_c 5.2491
_cell_angle_alpha 90.00
_cell_angle_beta 90.00
_cell_angle_gamma 90.00
loop_
_space_group_symop_operation_xyz
'x,y,z'
'-x,-y,z'
'-x,y,z'
'x,-y,z'
'x,y+1/2,z+1/2'
'-x,-y+1/2,z+1/2'
'-x,y+1/2,z+1/2'
'x,-y+1/2,z+1/2'
loop_
_atom_site_label
_atom_site_type_symbol
_atom_site_fract_x
_atom_site_fract_y
_atom_site_fract_z
Cd1 Cd 0.2279 0.0000 0.0000
Ga1 Ga 0.0000 0.0000 0.6915
Ga2 Ga 0.5000 0.0000 0.7995
O1 O 0.4024 0.0000 0.4726
```

6.
VASP calculation (GGA-PBE) on a relaxed CdGa2O4 crystal.

Calculated values
total magnetization = 0.00 μB per formula unit
formation energy (no corrections) = -11.0 eV/f.u.

The structure in CIF format:
```
data_CdGa2O4
_space_group_name_H-M_alt 'P n m a'
_space_group_IT_number 62
_cell_length_a 9.2637
_cell_length_b 3.0115
_cell_length_c 10.7484
_cell_angle_alpha 90.00
_cell_angle_beta 90.00
_cell_angle_gamma 90.00
loop_
_space_group_symop_operation_xyz
'x,y,z'
'-x,-y,-z'
'-x+1/2,-y,z+1/2'
'x+1/2,y,-z+1/2'
'x+1/2,-y+1/2,-z+1/2'
'-x+1/2,y+1/2,z+1/2'
'-x,y+1/2,-z'
'x,-y+1/2,z'
loop_
_atom_site_label
_atom_site_type_symbol
_atom_site_fract_x
_atom_site_fract_y
_atom_site_fract_z
Cd1 Cd 0.2429 0.2500 0.1533
Ga1 Ga 0.0642 0.2500 0.3867
Ga2 Ga 0.0835 0.2500 0.8946
O1 O 0.0310 0.7500 0.7832
O2 O 0.0816 0.2500 0.5700
O3 O 0.1152 0.7500 0.0235
O4 O 0.2035 0.7500 0.3408
```

Look up the total magnetization of the second one. 0.03 μB per formula unit

Among the records above, which one has the highest total magnetization? Np4CdGa12

Number 1 is which compound? Np4CdGa12